Record 1
Material: Hf2SeO2
Method: DFT, SCAN
State: PBEsol geometry

## Properties
- raw formation energy (meV per atom) = -2659
- SG = I4/mmm (139)
- electronic total energy (eV per atom) = -34.24

Cell and atoms, written as extended XYZ:
```
5
Lattice="-1.829 1.829 5.221 1.829 -1.829 5.221 1.829 1.829 -5.221" Properties=species:S:1:pos:R:3 pbc="T T T"
Hf 0.000 0.000 1.506
Hf 0.000 0.000 8.935
Se 0.000 0.000 5.221
O 1.829 0.000 2.610
O 0.000 1.829 2.610
```



Record 2
Material: Cu2H2CO5
Method: DFT, SCAN
State: PBEsol geometry

## Properties
- SG = P2_1/c (14)
- electronic total energy (eV per atom) = -8.94

Cell and atoms, written as extended XYZ:
```
40
Lattice="3.142 0.000 0.000 0.000 11.877 0.000 -2.393 0.000 9.692" Properties=species:S:1:pos:R:3 pbc="T T T"
Cu 0.070 2.518 0.245
Cu -1.126 3.421 5.091
Cu -0.370 1.430 2.837
Cu -1.567 4.508 7.683
Cu 2.316 7.369 2.009
Cu 1.120 10.446 6.856
Cu 1.875 8.456 4.601
Cu 0.679 9.359 9.447
H -1.825 7.129 9.660
H -0.629 10.686 4.814
H 0.709 0.263 1.088
H -0.487 5.675 5.934
H 1.236 6.202 3.758
H 0.040 11.613 8.604
H 1.378 1.190 4.878
H 2.574 4.748 0.032
C -1.657 7.400 7.294
C -0.461 10.415 2.448
C 1.210 1.461 7.244
C 2.407 4.477 2.398
O -1.486 2.625 6.879
O -0.289 3.313 2.033
O -1.247 7.209 6.090
O -0.051 10.606 1.244
O -1.654 6.444 8.157
O -0.457 11.371 3.311
O 0.518 7.817 0.704
O -0.678 9.998 5.550
O 0.890 1.203 1.380
O -0.307 4.735 6.226
O 1.056 7.141 3.467
O -0.140 10.674 8.313
O 1.427 1.879 4.143
O 0.231 4.059 8.989
O 1.207 0.506 6.381
O 2.403 5.432 1.535
O 0.800 1.271 8.448
O 1.996 4.668 3.602
O 1.039 8.563 7.660
O 2.235 9.251 2.814
```



Record 3
Material: MgGa2BiW
Method: DFT, SCAN
State: PBEsol geometry

## Properties
- SG = P4/mmm (123)
- electronic total energy (eV per atom) = -35.80

Cell and atoms, written as extended XYZ:
```
5
Lattice="4.794 0.000 0.000 0.000 4.794 0.000 0.000 0.000 5.072" Properties=species:S:1:pos:R:3 pbc="T T T"
Mg 0.000 0.000 0.000
Ga 0.000 2.397 0.000
Ga 2.397 0.000 0.000
Bi 2.397 2.397 2.536
W 0.000 0.000 2.536
```



Record 4
Material: Al2IrBr
Method: DFT, SCAN
State: PBEsol geometry

## Properties
- raw formation energy (meV per atom) = -100
- SG = Pmm2 (25)
- electronic total energy (eV per atom) = -26.62
- offset from the most stable computed form (meV per atom) = 0

Cell and atoms, written as extended XYZ:
```
4
Lattice="4.746 0.000 0.000 0.000 4.774 0.000 0.000 0.000 2.924" Properties=species:S:1:pos:R:3 pbc="T T T"
Al 0.000 0.000 0.000
Al 2.373 2.387 0.026
Ir 2.373 0.000 1.240
Br 0.000 2.387 2.137
```



Record 5
Material: Ta2CrOs
Method: DFT, SCAN
State: PBEsol geometry

## Properties
- SG = Fm-3m (225)
- electronic total energy (eV per atom) = -56.28
- offset from the most stable computed form (meV per atom) = 0

Cell and atoms, written as extended XYZ:
```
4
Lattice="0.000 3.112 3.112 3.112 0.000 3.112 3.112 3.112 0.000" Properties=species:S:1:pos:R:3 pbc="T T T"
Ta 1.556 1.556 1.556
Ta 4.668 4.668 4.668
Cr 0.000 0.000 0.000
Os 3.112 3.112 3.112
```



Record 6
Material: InHgW2
Method: DFT, SCAN
State: PBEsol geometry

## Properties
- SG = Cmmm (65)
- electronic total energy (eV per atom) = -59.37
- offset from the most stable computed form (meV per atom) = 303

Cell and atoms, written as extended XYZ:
```
4
Lattice="2.796 -4.476 0.000 2.796 4.476 0.000 0.000 0.000 2.813" Properties=species:S:1:pos:R:3 pbc="T T T"
In 0.000 0.000 0.000
Hg 2.796 0.000 0.000
W 1.398 2.238 1.407
W 1.398 -2.238 1.407
```